# 1
## InReOs2 (PBE)

Data for crystalline InReOs2 at its relaxed geometry.

The space group is Cmm2 (No. 35) and the conventional cell measures 2.8453, 4.8472 and 9.4331 Å, with angles of 90.00, 90.00 and 90.00 degrees. The distinct sites, in fractional coordinates, are In at (0.0000, 0.0000, 0.0000), Re at (0.0000, 0.5000, 0.2693), Os at (0.0000, 0.0000, 0.5025) and Os at (0.0000, 0.5000, 0.7405).

The value obtained for the total moment is 0.0 μB/cell. As for the crystal system: orthorhombic. The density of states at the Fermi level is 9.8 states/eV per cell. Its final energy is -8.6785 eV/atom. The calculated volume is 16.3 A^3/atom.

***

# 2
## InReOs2 (PBE)

Data for crystalline InReOs2 at its relaxed geometry.

The space group is C2/m (No. 12) and the conventional cell measures 9.2437, 2.8329 and 4.9753 Å, with angles of 90.00, 100.31 and 90.00 degrees. The distinct sites, in fractional coordinates, are In at (0.0000, 0.0000, 0.0000), Re at (0.0000, 0.5000, 0.5000) and Os at (0.2376, 0.0000, 0.7202).

The value obtained for the total moment is 0.0 μB/cell. As for the crystal system: monoclinic. The density of states at the Fermi level is 8.4 states/eV per cell. Its final energy is -8.9394 eV/atom. The calculated volume is 16.0 A^3/atom.

***

# 3
## InReOs2 (PBE)

Data for crystalline InReOs2 at its relaxed geometry.

The space group is Imm2 (No. 44) and the conventional cell measures 3.0169, 4.5844 and 9.1670 Å, with angles of 90.00, 90.00 and 90.00 degrees. The distinct sites, in fractional coordinates, are In at (0.0000, 0.0000, 0.0000), Re at (0.0000, 0.5000, 0.7521), Os at (0.0000, 0.0000, 0.4935) and Os at (0.0000, 0.5000, 0.2530).

The value obtained for the total moment is 0.0 μB/cell. As for the crystal system: orthorhombic. The density of states at the Fermi level is 7.6 states/eV per cell. Its final energy is -8.7681 eV/atom. The calculated volume is 15.8 A^3/atom.

***

# 4
## In2ReOs (PBE)

Data for crystalline In2ReOs at its relaxed geometry.

The space group is C2/m (No. 12) and the conventional cell measures 9.2272, 2.9722 and 5.1860 Å, with angles of 90.00, 100.71 and 90.00 degrees. The distinct sites, in fractional coordinates, are In at (0.2483, 0.0000, 0.2465), Re at (0.0000, 0.0000, 0.5000) and Os at (0.0000, 0.5000, 0.0000).

The value obtained for the polymorph energy (0 for the lowest one) is 487.3 meV/atom. The value obtained for the total moment is 0.0 μB/cell. As for the crystal system: monoclinic. The density of states at the Fermi level is 7.5 states/eV per cell. Its final energy is -6.6075 eV/atom. The calculated volume is 17.5 A^3/atom.

***

# 5
## In3ReOs (PBE)

Data for crystalline In3ReOs at its relaxed geometry.

The space group is Pm-3m (No. 221) and the conventional cell measures 5.1551, 5.1551 and 5.1551 Å, with angles of 90.00, 90.00 and 90.00 degrees. The distinct sites, in fractional coordinates, are In at (0.0000, 0.0000, 0.5000), Re at (0.0000, 0.0000, 0.0000) and Os at (0.5000, 0.5000, 0.5000).

The value obtained for the polymorph energy (0 for the lowest one) is 261.2 meV/atom. The value obtained for the total moment is 4.2 μB/cell. As for the crystal system: cubic. The density of states at the Fermi level is 9.6 states/eV per cell. Its final energy is -4.7190 eV/atom. The calculated volume is 27.4 A^3/atom.

***

# 6
## In2ReOs (PBE)

Data for crystalline In2ReOs at its relaxed geometry.

The space group is P2/m (No. 10) and the conventional cell measures 4.8637, 2.9684 and 5.1860 Å, with angles of 90.00, 111.05 and 90.00 degrees. The distinct sites, in fractional coordinates, are In at (0.0000, 0.0000, 0.0000), In at (0.0000, 0.5000, 0.5000), Re at (0.5000, 0.0000, 0.5000) and Os at (0.5000, 0.5000, 0.0000).

The value obtained for the polymorph energy (0 for the lowest one) is 488.2 meV/atom. The value obtained for the total moment is 0.0 μB/cell. As for the crystal system: monoclinic. The density of states at the Fermi level is 4.1 states/eV per cell. Its final energy is -6.6066 eV/atom. The calculated volume is 17.5 A^3/atom.